Entry 1:
Compound: NaNi3H
Source: Alexandria via LeMat-Bulk
Functional: PBEsol
Structure: relaxed

* spin magnetization: 1.0 μB/f.u.
* DFT total energy: -0.3159 Ry per atom
* crystal system: cubic
* space-group type: Pm-3m (221)

POSCAR file:
```
NaNi3H
1.0
3.6900 0.0000 0.0000
0.0000 3.6900 0.0000
0.0000 0.0000 3.6900
Na Ni H
1 3 1
direct
0.0000 0.0000 0.0000
0.0000 0.5000 0.5000
0.5000 0.0000 0.5000
0.5000 0.5000 0.0000
0.5000 0.5000 0.5000
```

Entry 2:
Compound: PmCdPt2
Source: Alexandria via LeMat-Bulk
Functional: PBEsol
Structure: relaxed

* spin magnetization: 0.0 μB/f.u.
* formation energy from the elements: -0.698 eV per atom
* crystal system: cubic
* space-group type: Fm-3m (225)

POSCAR file:
```
PmCdPt2
1.0
0.0000 3.3901 3.3901
3.3901 0.0000 3.3901
3.3901 3.3901 0.0000
Pm Cd Pt
1 1 2
direct
0.0000 0.0000 0.0000
0.5000 0.5000 0.5000
0.2500 0.2500 0.2500
0.7500 0.7500 0.7500
```